No. 1
## BeH3Pb (SCAN)

Data for a crystal of BeH3Pb relaxed with PBEsol.

Results
Total DFT energy (no corrections)   -87.90 eV per cell
Calculated density   7.672 Mg/m³
Space group   Pm-3m

Cell: 3.620 3.620 3.620 Å, 90.00 90.00 90.00°
Fractional coordinates of all 5 atoms:
H 0.500 0.000 0.000
Be 0.000 0.000 0.000
Pb 0.500 0.500 0.500
H 0.000 0.500 0.000
H 0.000 0.000 0.500



No. 2
## Be2HPd (SCAN)

Data for a crystal of Be2HPd relaxed with PBEsol.

Results
Total DFT energy (no corrections)   -43.67 eV per cell
Calculated density   5.581 Mg/m³
Space group   Fm-3m

Cell: 3.751 3.751 3.751 Å, 60.00 60.00 60.00°
Fractional coordinates of all 4 atoms:
Be 0.750 0.750 0.750
H 0.000 0.000 0.000
Pd 0.500 0.500 0.500
Be 0.250 0.250 0.250



No. 3
## BeHPdRu2 (SCAN)

Data for a crystal of BeHPdRu2 relaxed with PBEsol.

Results
Total DFT energy (no corrections)   -104.11 eV per cell
Calculated density   7.727 Mg/m³
Space group   P4/mmm

Cell: 2.915 4.847 4.847 Å, 90.00 90.00 90.00°
Fractional coordinates of all 5 atoms:
Ru 0.000 0.000 0.500
H 0.500 0.000 0.000
Ru 0.000 0.500 0.000
Be 0.500 0.500 0.500
Pd 0.000 0.000 0.000



No. 4
## BeH2Pt (SCAN)

Data for a crystal of BeH2Pt relaxed with PBEsol.

Results
Total DFT energy (no corrections)   -79.64 eV per cell
Calculated density   11.306 Mg/m³
Space group   Fm-3m

Cell: 3.498 3.498 3.498 Å, 60.00 60.00 60.00°
Fractional coordinates of all 4 atoms:
H 0.750 0.750 0.750
Pt 0.500 0.500 0.500
H 0.250 0.250 0.250
Be 0.000 0.000 0.000



No. 5
## BeHPt2 (SCAN)

Data for a crystal of BeHPt2 relaxed with PBEsol.

Results
Total DFT energy (no corrections)   -297.89 eV per cell
Calculated density   15.658 Mg/m³
Space group   I-42d

Cell: 4.799 4.799 4.799 Å, 107.79 107.79 112.88°
Fractional coordinates of all 8 atoms:
H 0.750 0.250 0.500
Pt 0.809 0.375 0.934
Pt 0.125 0.191 0.566
H 0.500 0.500 0.000
Pt 0.441 0.875 0.066
Pt 0.625 0.559 0.434
Be 0.250 0.750 0.500
Be 0.000 0.000 0.000



No. 6
## Rb3BeH (SCAN)

Data for a crystal of Rb3BeH relaxed with PBEsol.

Results
Total DFT energy (no corrections)   -67.98 eV per cell
Calculated density   2.417 Mg/m³
Space group   Pm-3m

Cell: 5.678 5.678 5.678 Å, 90.00 90.00 90.00°
Fractional coordinates of all 5 atoms:
Rb 0.000 0.500 0.000
Rb 0.500 0.000 0.000
H 0.000 0.000 0.000
Be 0.500 0.500 0.500
Rb 0.000 0.000 0.500



No. 7
## Rb2BeH (SCAN)

Data for a crystal of Rb2BeH relaxed with PBEsol.

Results
Total DFT energy (no corrections)   -46.32 eV per cell
Calculated density   2.346 Mg/m³
Space group   Fm-3m

Cell: 5.658 5.658 5.658 Å, 60.00 60.00 60.00°
Fractional coordinates of all 4 atoms:
Rb 0.250 0.250 0.250
Be 0.500 0.500 0.500
Rb 0.750 0.750 0.750
H 0.000 0.000 0.000



No. 8
## RbBeH2Rh (SCAN)

Data for a crystal of RbBeH2Rh relaxed with PBEsol.

Results
Total DFT energy (no corrections)   -59.53 eV per cell
Calculated density   4.292 Mg/m³
Space group   P4/mmm

Cell: 3.772 3.772 5.423 Å, 90.00 90.00 90.00°
Fractional coordinates of all 5 atoms:
H 0.500 0.000 0.000
Rh 0.000 0.000 0.000
Be 0.500 0.500 0.500
H 0.000 0.500 0.000
Rb 0.000 0.000 0.500



No. 9
## SrBe2ReH (SCAN)

Data for a crystal of SrBe2ReH relaxed with PBEsol.

Results
Total DFT energy (no corrections)   -100.66 eV per cell
Calculated density   7.165 Mg/m³
Space group   P4/mmm

Cell: 3.438 4.443 4.443 Å, 90.00 90.00 90.00°
Fractional coordinates of all 5 atoms:
Be 0.000 0.000 0.500
Be 0.000 0.500 0.000
Re 0.500 0.000 0.000
Sr 0.500 0.500 0.500
H 0.000 0.000 0.000



No. 10
## Be3HRh (SCAN)

Data for a crystal of Be3HRh relaxed with PBEsol.

Results
Total DFT energy (no corrections)   -51.96 eV per cell
Calculated density   5.572 Mg/m³
Space group   Pm-3m

Cell: 3.392 3.392 3.392 Å, 90.00 90.00 90.00°
Fractional coordinates of all 5 atoms:
Be 0.000 0.500 0.000
Be 0.000 0.000 0.500
Be 0.500 0.000 0.000
H 0.000 0.000 0.000
Rh 0.500 0.500 0.500



No. 11
## BeH3Ru (SCAN)

Data for a crystal of BeH3Ru relaxed with PBEsol.

Results
Total DFT energy (no corrections)   -46.93 eV per cell
Calculated density   6.499 Mg/m³
Space group   Pm-3m

Cell: 3.069 3.069 3.069 Å, 90.00 90.00 90.00°
Fractional coordinates of all 5 atoms:
H 0.000 0.000 0.500
H 0.000 0.500 0.000
Ru 0.500 0.500 0.500
H 0.500 0.000 0.000
Be 0.000 0.000 0.000



No. 12
## ScBeH2S (SCAN)

Data for a crystal of ScBeH2S relaxed with PBEsol.

Results
Total DFT energy (no corrections)   -32.49 eV per cell
Calculated density   2.214 Mg/m³
Space group   P4/mmm

Cell: 3.586 3.586 5.135 Å, 90.00 90.00 90.00°
Fractional coordinates of all 5 atoms:
Sc 0.000 0.000 0.500
H 0.500 0.000 0.000
Be 0.500 0.500 0.500
S 0.000 0.000 0.000
H 0.000 0.500 0.000



No. 13
## Sc2BeH2 (SCAN)

Data for a crystal of Sc2BeH2 relaxed with PBEsol.

Results
Total DFT energy (no corrections)   -42.05 eV per cell
Calculated density   2.893 Mg/m³
Space group   I4/mmm

Cell: 3.271 3.271 5.888 Å, 106.13 106.13 90.00°
Fractional coordinates of all 5 atoms:
H 0.250 0.750 0.500
H 0.750 0.250 0.500
Sc 0.644 0.644 0.288
Be 0.000 0.000 0.000
Sc 0.356 0.356 0.712



No. 14
## ScBe3H (SCAN)

Data for a crystal of ScBe3H relaxed with PBEsol.

Results
Total DFT energy (no corrections)   -19.33 eV per cell
Calculated density   0.936 Mg/m³
Space group   Pm-3m

Cell: 5.059 5.059 5.059 Å, 90.00 90.00 90.00°
Fractional coordinates of all 5 atoms:
Sc 0.000 0.000 0.000
H 0.500 0.500 0.500
Be 0.000 0.000 0.500
Be 0.000 0.500 0.000
Be 0.500 0.000 0.000



No. 15
## Be3HSe (SCAN)

Data for a crystal of Be3HSe relaxed with PBEsol.

Results
Total DFT energy (no corrections)   -29.07 eV per cell
Calculated density   2.258 Mg/m³
Space group   Pm-3m

Cell: 4.285 4.285 4.285 Å, 90.00 90.00 90.00°
Fractional coordinates of all 5 atoms:
Se 0.000 0.000 0.000
H 0.500 0.500 0.500
Be 0.500 0.000 0.000
Be 0.000 0.500 0.000
Be 0.000 0.000 0.500



No. 16
## BeHSe2 (SCAN)

Data for a crystal of BeHSe2 relaxed with PBEsol.

Results
Total DFT energy (no corrections)   -95.69 eV per cell
Calculated density   4.661 Mg/m³
Space group   I-42d

Cell: 5.000 5.000 5.950 Å, 114.84 114.84 90.00°
Fractional coordinates of all 8 atoms:
Se 0.625 0.603 0.750
H 0.500 0.500 0.000
Be 0.250 0.750 0.500
Se 0.125 0.147 0.750
Se 0.853 0.375 0.250
H 0.750 0.250 0.500
Be 0.000 0.000 0.000
Se 0.397 0.875 0.250



No. 17
## BeH2Se (SCAN)

Data for a crystal of BeH2Se relaxed with PBEsol.

Results
Total DFT energy (no corrections)   -59.19 eV per cell
Calculated density   3.923 Mg/m³
Space group   Fd-3m

Cell: 4.758 4.758 4.758 Å, 60.00 60.00 60.00°
Fractional coordinates of all 8 atoms:
H 0.625 0.625 0.625
H 0.625 0.625 0.125
Se 0.250 0.250 0.250
Be 0.500 0.500 0.500
H 0.125 0.625 0.625
Be 0.750 0.750 0.750
H 0.625 0.125 0.625
Se 0.000 0.000 0.000



No. 18
## BeSi3H (SCAN)

Data for a crystal of BeSi3H relaxed with PBEsol.

Results
Total DFT energy (no corrections)   -34.10 eV per cell
Calculated density   2.849 Mg/m³
Space group   Pm-3m

Cell: 3.802 3.802 3.802 Å, 90.00 90.00 90.00°
Fractional coordinates of all 5 atoms:
H 0.000 0.000 0.000
Be 0.500 0.500 0.500
Si 0.500 0.000 0.000
Si 0.000 0.500 0.000
Si 0.000 0.000 0.500



No. 19
## Be2SiH (SCAN)

Data for a crystal of Be2SiH relaxed with PBEsol.

Results
Total DFT energy (no corrections)   -41.33 eV per cell
Calculated density   2.122 Mg/m³
Space group   I-42d

Cell: 3.962 3.962 5.470 Å, 111.23 111.23 90.00°
Fractional coordinates of all 8 atoms:
H 0.750 0.250 0.500
Be 0.625 0.417 0.750
H 0.500 0.500 0.000
Si 0.250 0.750 0.500
Be 0.125 0.333 0.750
Be 0.667 0.375 0.250
Si 0.000 0.000 0.000
Be 0.583 0.875 0.250



No. 20
## BeSnH3 (SCAN)

Data for a crystal of BeSnH3 relaxed with PBEsol.

Results
Total DFT energy (no corrections)   -47.74 eV per cell
Calculated density   4.882 Mg/m³
Space group   Pm-3m
Polymorph energy (0 for the lowest one)   0 meV/atom

Cell: 3.543 3.543 3.543 Å, 90.00 90.00 90.00°
Fractional coordinates of all 5 atoms:
H 0.000 0.500 0.000
H 0.500 0.000 0.000
H 0.000 0.000 0.500
Be 0.000 0.000 0.000
Sn 0.500 0.500 0.500